[1]
A relaxed TcIrOs4 crystal, computed with GGA-PBE.

Unit cell a=5.081 b=5.081 c=5.081 alpha=60.00 beta=60.00 gamma=60.00
Element x y z (fractional)
Tc (0.750, 0.750, 0.750)
Ir (0.000, 0.000, 0.000)
Os (0.876, 0.375, 0.375)
Os (0.375, 0.375, 0.876)
Os (0.375, 0.876, 0.375)
Os (0.375, 0.375, 0.375)

Summary:
- symmetry = No. 216
- total energy (eV for the cell shown) = -59.8
- energy of formation from the pure elements (eV/atom) = 0.728
- ΔE to the lowest computed polymorph (kJ per mole of atoms) = 71.9

***

[2]
A relaxed SrTcPb crystal, computed with GGA-PBE.

Unit cell a=5.219 b=5.219 c=5.219 alpha=60.00 beta=60.00 gamma=60.00
Element x y z (fractional)
Pb (0.500, 0.500, 0.500)
Sr (0.750, 0.750, 0.750)
Tc (0.000, 0.000, 0.000)

Summary:
- symmetry = No. 216
- total energy (eV for the cell shown) = -11.7
- energy of formation from the pure elements (eV/atom) = 1.347
- ΔE to the lowest computed polymorph (kJ per mole of atoms) = 91.9

***

[3]
A relaxed SrHgC crystal, computed with GGA-PBE.

Unit cell a=3.986 b=9.596 c=3.986 alpha=73.68 beta=90.04 gamma=90.07
Element x y z (fractional)
Sr (0.403, 0.096, 0.095)
Sr (0.905, 0.703, 0.178)
C (0.407, 0.796, 0.569)
C (0.403, 0.890, 0.741)
Hg (0.404, 0.462, 0.849)
Hg (0.903, 0.303, 0.455)

Summary:
- symmetry = No. 1
- total energy (eV for the cell shown) = -23.0
- energy of formation from the pure elements (eV/atom) = -0.096

***

Copy entry 2 word for word.
A relaxed SrTcPb crystal, computed with GGA-PBE.

Unit cell a=5.219 b=5.219 c=5.219 alpha=60.00 beta=60.00 gamma=60.00
Element x y z (fractional)
Pb (0.500, 0.500, 0.500)
Sr (0.750, 0.750, 0.750)
Tc (0.000, 0.000, 0.000)

Summary:
- symmetry = No. 216
- total energy (eV for the cell shown) = -11.7
- energy of formation from the pure elements (eV/atom) = 1.347
- ΔE to the lowest computed polymorph (kJ per mole of atoms) = 91.9